VASP calculation (PBE) on an optimized crystal structure of PmMgInCo.

Formation energy from the elements = -39 meV/atom
Uncorrected energy = -4.086 eV per atom

a b c (Å): 4.975 4.975 4.975
angles (deg): 60.00 60.00 60.00
Fractional positions:
Pm  0.000  0.000  0.000
Mg  0.500  0.500  0.500
In  0.750  0.750  0.750
Co  0.250  0.250  0.250